No. 1
Ta4NiAuN2 | PBE | relaxed

a b c (Å): 3.1222 3.1222 13.2463
angles (deg): 90.00 90.00 120.00
Space group P-6m2 (No. 187)
Inequivalent atoms, fractional coordinates:
Ta  0.0000  0.0000  0.1484 x2
Ta  0.3333  0.6667  0.3288 x2
Ni  0.3333  0.6667  0.0000 x1
Au  0.0000  0.0000  0.5000 x1
N  0.6667  0.3333  0.2390 x2


No. 2
NiW4AuN2 | PBE | relaxed

a b c (Å): 2.8150 2.8150 15.0177
angles (deg): 90.00 90.00 120.00
Space group P-6m2 (No. 187)
Inequivalent atoms, fractional coordinates:
Ni  0.0000  0.0000  0.0000 x1
W  0.0000  0.0000  0.3360 x2
W  0.6667  0.3333  0.1416 x2
Au  0.6667  0.3333  0.5000 x1
N  0.3333  0.6667  0.2402 x2


No. 3
Y4NiAuN2 | PBE | relaxed

a b c (Å): 3.5416 3.5416 13.8746
angles (deg): 90.00 90.00 120.00
Space group P-6m2 (No. 187)
Inequivalent atoms, fractional coordinates:
Y  0.0000  0.0000  0.1404 x2
Y  0.6667  0.3333  0.3383 x2
Ni  0.6667  0.3333  0.0000 x1
Au  0.0000  0.0000  0.5000 x1
N  0.3333  0.6667  0.2401 x2


No. 4
AuNO6 | PBE | relaxed

a b c (Å): 7.029 7.029 7.029
angles (deg): 90.00 90.00 90.00
Space group F-43m (No. 216)
Inequivalent atoms, fractional coordinates:
Au  0.000  0.000  0.000 x4
N  0.250  0.250  0.250 x4
O  0.000  0.000  0.281 x24


No. 5
PaAuNO | PBE | relaxed

a b c (Å): 7.322 7.643 4.403
angles (deg): 90.00 90.00 90.00
Space group Cmme (No. 67)
Inequivalent atoms, fractional coordinates:
Pa  0.250  0.000  0.000 x4
Au  0.000  0.250  0.485 x4
N  0.000  0.250  0.989 x4
O  0.250  0.000  0.500 x4


No. 6
PaAuNO | PBE | relaxed

a b c (Å): 4.060 6.336 5.233
angles (deg): 90.00 90.00 90.00
Space group Pmc2_1 (No. 26)
Inequivalent atoms, fractional coordinates:
Pa  0.000  0.222  0.000 x2
Au  0.500  0.200  0.505 x2
N  0.000  0.146  0.459 x2
O  0.500  0.366  0.995 x2


No. 7
PaAuNO | PBE | relaxed

a b c (Å): 5.107 5.107 4.463
angles (deg): 90.00 90.00 90.00
Space group P4/nmm (No. 129, origin choice 2)
Inequivalent atoms, fractional coordinates:
Pa  0.250  0.750  0.000 x2
Au  0.250  0.250  0.455 x2
N  0.250  0.250  0.968 x2
O  0.250  0.750  0.500 x2


No. 8
PaAuNO | PBE | relaxed

a b c (Å): 5.982 7.491 5.907
angles (deg): 90.00 90.00 90.00
Space group Pca2_1 (No. 29)
Inequivalent atoms, fractional coordinates:
Pa  0.002  0.139  0.000 x4
Au  0.011  0.317  0.513 x4
N  0.249  0.997  0.248 x4
O  0.047  0.599  0.587 x4


No. 9
PaAuNO | PBE | relaxed

a b c (Å): 4.074 7.051 6.520
angles (deg): 90.00 90.00 90.00
Space group Pmc2_1 (No. 26)
Inequivalent atoms, fractional coordinates:
Pa  0.000  0.185  0.000 x2
Au  0.500  0.495  0.681 x2
N  0.500  0.321  0.930 x2
O  0.000  0.052  0.297 x2


No. 10
PaAuNO | PBE | relaxed

a b c (Å): 3.571 3.571 9.185
angles (deg): 90.00 90.00 90.00
Space group P4/nmm (No. 129, origin choice 2)
Inequivalent atoms, fractional coordinates:
Pa  0.250  0.250  0.165 x2
Au  0.250  0.750  0.500 x2
N  0.250  0.250  0.775 x2
O  0.250  0.750  0.000 x2


No. 11
PbAuNO | PBE | relaxed

a b c (Å): 4.175 4.175 8.462
angles (deg): 90.00 90.00 90.00
Space group P4/nmm (No. 129, origin choice 2)
Inequivalent atoms, fractional coordinates:
Pb  0.250  0.250  0.133 x2
Au  0.250  0.750  0.500 x2
N  0.250  0.250  0.562 x2
O  0.250  0.750  0.000 x2


No. 12
PbAuNO | PBE | relaxed

a b c (Å): 4.923 4.923 4.771
angles (deg): 90.00 90.00 90.00
Space group P4/nmm (No. 129, origin choice 2)
Inequivalent atoms, fractional coordinates:
Pb  0.250  0.750  0.000 x2
Au  0.250  0.250  0.500 x2
N  0.250  0.250  0.002 x2
O  0.250  0.750  0.500 x2


no.,calculated total energy (eV/atom)
1,-9.64
2,-9.50
3,-7.37
4,-3.14
5,-7.14
6,-7.25
7,-7.05
8,-7.23
9,-7.43
10,-7.27
11,-4.75
12,-4.55